# 1
A relaxed CaY2Pd2 crystal. Source: Alexandria, functional GGA-PBE.

Cell: 5.375 8.226 7.405 Å, 83.14 68.83 70.94°
Sites, in units of the cell vectors:
Y  0.461  0.577  0.750
Y  0.789  0.922  0.750
Y  0.211  0.078  0.250
Y  0.539  0.423  0.250
Pd  0.524  0.249  0.954
Pd  0.727  0.250  0.546
Pd  0.476  0.751  0.046
Pd  0.273  0.750  0.454
Ca  0.125  0.250  0.750
Ca  0.875  0.750  0.250

Volume ... 288.6 Å³ per cell
VASP energy ... -5.5478 eV per atom
Density of states at the Fermi level ... 8.480 states/eV per cell
ρ ... 4.96 g cm⁻³

---

# 2
A relaxed Ca2Y2Pd3 crystal. Source: Alexandria, functional GGA-PBE.

Cell: 4.936 4.936 8.715 Å, 90.00 106.45 120.00°
Sites, in units of the cell vectors:
Y  0.751  0.376  0.127
Y  0.249  0.624  0.873
Ca  0.748  0.874  0.622
Ca  0.252  0.126  0.378
Pd  0.485  0.743  0.228
Pd  0.515  0.257  0.772
Pd  0.000  0.000  0.000

Volume ... 173.8 Å³ per cell
VASP energy ... -5.3432 eV per atom
Density of states at the Fermi level ... 6.023 states/eV per cell
ρ ... 5.52 g cm⁻³

---

# 3
A relaxed Ca3YPd8 crystal. Source: Alexandria, functional GGA-PBE.

Cell: 5.482 5.482 9.432 Å, 73.11 73.11 60.00°
Sites, in units of the cell vectors:
Pd  0.938  0.441  0.684
Pd  0.437  0.437  0.191
Pd  0.687  0.687  0.938
Pd  0.938  0.938  0.684
Pd  0.437  0.934  0.191
Pd  0.441  0.938  0.684
Pd  0.934  0.437  0.191
Pd  0.188  0.188  0.437
Y  0.876  0.876  0.373
Ca  0.374  0.374  0.878
Ca  0.498  0.498  0.506
Ca  0.002  0.002  0.994

Volume ... 231.2 Å³ per cell
VASP energy ... -5.2175 eV per atom
Density of states at the Fermi level ... 9.123 states/eV per cell
ρ ... 7.62 g cm⁻³

---

# 4
A relaxed CaY4Pd4 crystal. Source: Alexandria, functional GGA-PBE.

Cell: 5.708 9.158 9.158 Å, 90.00 90.00 90.00°
Sites, in units of the cell vectors:
Pd  0.410  0.371  0.212
Pd  0.590  0.788  0.371
Pd  0.090  0.129  0.288
Pd  0.910  0.712  0.129
Pd  0.590  0.212  0.629
Pd  0.090  0.871  0.712
Pd  0.910  0.288  0.871
Pd  0.410  0.629  0.788
Y  0.412  0.327  0.906
Y  0.912  0.406  0.173
Y  0.088  0.827  0.406
Y  0.412  0.673  0.094
Y  0.088  0.173  0.594
Y  0.588  0.094  0.327
Y  0.912  0.594  0.827
Y  0.588  0.906  0.673
Ca  0.000  0.000  0.000
Ca  0.500  0.500  0.500

Volume ... 478.7 Å³ per cell
VASP energy ... -6.0580 eV per atom
Density of states at the Fermi level ... 14.009 states/eV per cell
ρ ... 5.70 g cm⁻³